# PmSc2Nb (GGA-PBE, relaxed)
data_PmSc2Nb
_symmetry_space_group_name_H-M 'P 1'
_symmetry_Int_Tables_number 1
_symmetry_space_group_name_Hall 'P 1'
_cell_length_a 11.339
_cell_length_b 11.339
_cell_length_c 11.339
_cell_angle_alpha 16.16
_cell_angle_beta 16.16
_cell_angle_gamma 16.16
loop_
_atom_site_label
_atom_site_fract_x
_atom_site_fract_y
_atom_site_fract_z
Pm1 0.000 0.000 0.000
Sc1 0.419 0.419 0.419
Sc2 0.581 0.581 0.581
Nb1 0.500 0.500 0.500
# N(E_F), states/eV/atom: 1.732
# Relative energy among the computed polymorphs, meV per atom: 303
# Size of the total moment, μB/f.u.: 0.3